Entry 1:
Crystalline YbIn3 at its relaxed geometry, computed with PBE.

a = 5.3523 Å, b = 5.3468 Å, c = 5.3463 Å
α = 59.94°, β = 59.96°, γ = 59.97°
Last column: nearest neighbours and their distance in Å.
Fractional coordinates of all 4 atoms:
1 In 0.0000 0.0000 0.0000  4 In 3.27-3.28, 4 Yb 3.27-3.28
2 In 0.2500 0.2500 0.2500  8 In 3.27-3.28
3 In 0.5000 0.5000 0.5000  4 In 3.27-3.28, 4 Yb 3.27-3.28
4 Yb 0.7500 0.7500 0.7500  8 In 3.27-3.28

Results
Its crystal system is orthorhombic. The density comes out at 7951 kg/m³. The value obtained for the formation energy is -0.26 eV per atom. The value obtained for the magnetization is 0.0 μB/f.u. The calculation puts the volume at 27.02 Å³ per atom.

Entry 2:
Crystalline K2LiLaBi at its relaxed geometry, computed with PBE.

a = 5.4274 Å, b = 5.4274 Å, c = 6.4628 Å
α = 90.00°, β = 90.00°, γ = 90.00°
Last column: nearest neighbours and their distance in Å.
Fractional coordinates of all 5 atoms:
1 K 0.0000 0.5000 0.0000  2 Li 2.71
2 Bi 0.5000 0.5000 0.5000  4 La 3.84, 8 K 4.22
3 K 0.5000 0.0000 0.0000  2 Li 2.71
4 La 0.0000 0.0000 0.5000  2 Li 3.23
5 Li 0.0000 0.0000 0.0000  4 K 2.71

Results
Its crystal system is tetragonal. The density comes out at 3777 kg/m³. The value obtained for the formation energy is 0.23 eV per atom. The value obtained for the magnetization is 0.0 μB/f.u. The calculation puts the volume at 38.07 Å³ per atom.

Entry 3:
Crystalline Cs2ReI2Cl4 at its relaxed geometry, computed with PBE.

a = 7.7342 Å, b = 7.7342 Å, c = 7.7342 Å
α = 94.46°, β = 117.46°, γ = 117.46°
Last column: nearest neighbours and their distance in Å.
Fractional coordinates of all 9 atoms:
1 Cl 0.0000 0.7902 0.2098  1 Re 2.38
2 Cl 0.4196 0.2098 0.2098  1 Re 2.38
3 Cs 0.5000 0.2500 0.7500  8 Cl 3.89, 4 I 4.02
4 Re 0.0000 0.0000 0.0000  4 Cl 2.38
5 Cl 0.0000 0.2098 0.7902  1 Re 2.38
6 I 0.0000 0.7375 0.7375  1 Re 2.76
7 Cs 0.5000 0.7500 0.2500  8 Cl 3.89, 4 I 4.02
8 Cl 0.5804 0.7902 0.7902  1 Re 2.38
9 I 0.0000 0.2625 0.2625  1 Re 2.76

Results
Its crystal system is tetragonal. The density comes out at 4157 kg/m³. For the uncorrected formation energy, the calculation gives -1.12 eV per atom. The value obtained for the magnetization is 3.0 μB/f.u. The calculation puts the volume at 37.62 Å³ per atom.

Entry 4:
Crystalline TbEuInAu at its relaxed geometry, computed with PBE.

a = 5.3280 Å, b = 5.3280 Å, c = 5.3280 Å
α = 60.00°, β = 60.00°, γ = 60.00°
Last column: nearest neighbours and their distance in Å.
Fractional coordinates of all 4 atoms:
1 Au 0.7500 0.7500 0.7500  4 Tb 3.26, 4 Eu 3.26
2 Eu 0.5000 0.5000 0.5000  4 Au 3.26, 4 In 3.26
3 Tb 0.0000 0.0000 0.0000  4 In 3.26, 4 Au 3.26
4 In 0.2500 0.2500 0.2500  4 Tb 3.26, 4 Eu 3.26

Results
Its crystal system is cubic. The density comes out at 9668 kg/m³. The value obtained for the formation energy is -0.57 eV per atom. The value obtained for the magnetization is 6.8 μB/f.u. The calculation puts the volume at 26.74 Å³ per atom.

Entry 5:
Crystalline Dy3Y4Tm3 at its relaxed geometry, computed with PBE.

a = 3.6918 Å, b = 9.2734 Å, c = 9.2734 Å
α = 90.05°, β = 90.00°, γ = 90.00°
Last column: nearest neighbours and their distance in Å.
Fractional coordinates of all 10 atoms:
1 Dy 0.5000 0.6713 0.6718  6 Y 3.22-3.36
2 Tm 0.0000 0.4981 0.9991  4 Y 3.63-3.68, 4 Tm 3.69-3.88, 6 Dy 3.90-3.92
3 Tm 0.0000 0.0009 0.5019  4 Y 3.63-3.68, 4 Tm 3.69-3.88, 6 Dy 3.90-3.92
4 Y 0.0000 0.3720 0.6280  2 Tm 3.21, 1 Y 3.35, 4 Dy 3.36
5 Dy 0.5000 0.8286 0.1714  6 Y 3.22-3.36
6 Dy 0.5000 0.3282 0.3287  6 Y 3.22-3.36
7 Y 0.0000 0.1280 0.1265  4 Dy 3.22-3.36, 1 Y 3.34, 2 Tm 3.35
8 Y 0.0000 0.8735 0.8720  4 Dy 3.22-3.36, 1 Y 3.34, 2 Tm 3.35
9 Tm 0.5000 0.1717 0.8283  6 Y 3.21-3.35
10 Y 0.0000 0.6276 0.3724  6 Dy 3.22-3.36, 1 Y 3.35

Results
Its crystal system is orthorhombic. The density comes out at 7061 kg/m³. The value obtained for the formation energy is 0.11 eV per atom. The value obtained for the magnetization is 0.0 μB/f.u. The calculation puts the volume at 31.75 Å³ per atom.

Entry 6:
Crystalline DyScSn3 at its relaxed geometry, computed with PBE.

a = 6.0108 Å, b = 6.3233 Å, c = 13.5090 Å
α = 90.00°, β = 90.00°, γ = 89.99°
Last column: nearest neighbours and their distance in Å.
Fractional coordinates of all 20 atoms:
1 Sn 0.2500 0.5000 0.4981  4 Sn 3.01-3.16, 4 Dy 3.29-3.30
2 Sn 0.2183 0.7500 0.9079  3 Sn 2.95-3.19, 4 Sc 3.10-3.23, 1 Dy 3.30
3 Sn 0.9900 0.2500 0.7319  1 Sn 2.95, 4 Dy 3.06-3.23, 2 Sc 3.07
4 Sc 0.2500 0.0000 0.1047  6 Sn 3.07-3.23, 2 Sc 3.16
5 Sn 0.7183 0.7500 0.0921  3 Sn 2.95-3.19, 4 Sc 3.10-3.23, 1 Dy 3.30
6 Dy 0.0065 0.7500 0.6828  9 Sn 3.06-3.30
7 Sc 0.7500 0.5000 0.8952  6 Sn 3.07-3.23, 2 Sc 3.16
8 Sn 0.7817 0.2500 0.0921  3 Sn 2.95-3.19, 4 Sc 3.10-3.23, 1 Dy 3.30
9 Dy 0.5065 0.7500 0.3172  9 Sn 3.06-3.30
10 Dy 0.4935 0.2500 0.6828  9 Sn 3.06-3.30
11 Sn 0.4900 0.2500 0.2681  1 Sn 2.95, 4 Dy 3.06-3.23, 2 Sc 3.07
12 Sn 0.2500 0.0000 0.4981  4 Sn 3.01-3.16, 4 Dy 3.29-3.30
13 Sn 0.0100 0.7500 0.2681  1 Sn 2.95, 4 Dy 3.06-3.23, 2 Sc 3.07
14 Dy 0.9935 0.2500 0.3172  9 Sn 3.06-3.30
15 Sn 0.5100 0.7500 0.7319  1 Sn 2.95, 4 Dy 3.06-3.23, 2 Sc 3.07
16 Sc 0.2500 0.5000 0.1048  6 Sn 3.07-3.23, 2 Sc 3.16
17 Sn 0.2817 0.2500 0.9079  3 Sn 2.95-3.19, 4 Sc 3.10-3.23, 1 Dy 3.30
18 Sn 0.7500 0.5000 0.5019  4 Sn 3.01-3.16, 4 Dy 3.29-3.30
19 Sc 0.7500 0.0000 0.8953  6 Sn 3.07-3.23, 2 Sc 3.16
20 Sn 0.7500 0.0000 0.5019  4 Sn 3.01-3.16, 4 Dy 3.29-3.30

Results
Its crystal system is orthorhombic. The density comes out at 7291 kg/m³. The value obtained for the formation energy is -0.50 eV per atom. The value obtained for the magnetization is 0.3 μB/f.u. The calculation puts the volume at 25.67 Å³ per atom.

Entry 7:
Crystalline Na2Ca6Cu at its relaxed geometry, computed with PBE.

a = 9.4717 Å, b = 9.4717 Å, c = 9.4717 Å
α = 76.20°, β = 71.28°, γ = 116.13°
Last column: nearest neighbours and their distance in Å.
Fractional coordinates of all 18 atoms:
1 Na 0.3640 0.0000 0.6360  1 Na 3.00
2 Ca 0.6741 0.9238 0.7503  1 Cu 3.40, 3 Na 3.42-3.72, 5 Ca 3.49-3.79
3 Na 0.6360 0.0000 0.3640  1 Na 3.00
4 Ca 0.1007 0.2843 0.1836  1 Cu 2.96
5 Ca 0.3259 0.5756 0.7503  1 Cu 3.40, 3 Na 3.42-3.72, 5 Ca 3.49-3.79
6 Ca 0.6741 0.4244 0.2497  1 Cu 3.40, 3 Na 3.42-3.72, 5 Ca 3.49-3.79
7 Ca 0.1734 0.7654 0.0612  1 Cu 3.34, 1 Na 3.46
8 Ca 0.3259 0.0762 0.2497  1 Cu 3.40, 3 Na 3.42-3.72, 5 Ca 3.49-3.79
9 Na 0.8514 0.3514 0.5000  1 Na 2.98
10 Na 0.1486 0.6486 0.5000  1 Na 2.98
11 Ca 0.8266 0.2346 0.9388  1 Cu 3.34, 1 Na 3.46
12 Ca 0.1734 0.2346 0.5920  1 Cu 3.34, 1 Na 3.46
13 Ca 0.8993 0.7157 0.8164  1 Cu 2.96
14 Cu 0.5000 0.5000 0.0000  4 Ca 2.96
15 Cu 0.0000 0.0000 0.0000  8 Ca 3.34-3.50
16 Ca 0.4680 0.2843 0.8164  1 Cu 2.96
17 Ca 0.8266 0.7654 0.4080  1 Cu 3.34, 1 Na 3.46
18 Ca 0.5320 0.7157 0.1836  1 Cu 2.96

Results
Its crystal system is orthorhombic. The density comes out at 1798 kg/m³. The value obtained for the formation energy is 0.10 eV per atom. The value obtained for the magnetization is 0.0 μB/f.u. The calculation puts the volume at 35.91 Å³ per atom.

Entry 8:
Crystalline DyPuCdAu at its relaxed geometry, computed with PBE.

a = 5.2228 Å, b = 5.2228 Å, c = 5.2228 Å
α = 60.00°, β = 60.00°, γ = 60.00°
Last column: nearest neighbours and their distance in Å.
Fractional coordinates of all 4 atoms:
1 Au 0.2500 0.2500 0.2500  4 Dy 3.20, 4 Pu 3.20
2 Dy 0.0000 0.0000 0.0000  4 Au 3.20, 4 Cd 3.20
3 Pu 0.5000 0.5000 0.5000  4 Cd 3.20, 4 Au 3.20
4 Cd 0.7500 0.7500 0.7500  4 Dy 3.20, 4 Pu 3.20

Results
Its crystal system is cubic. The density comes out at 11800 kg/m³. The value obtained for the formation energy is -0.32 eV per atom. The value obtained for the magnetization is 5.9 μB/f.u. The calculation puts the volume at 25.18 Å³ per atom.

Entry 9:
Crystalline TmCo6 at its relaxed geometry, computed with PBE.

a = 5.1992 Å, b = 5.1992 Å, c = 5.1992 Å
α = 109.47°, β = 109.47°, γ = 109.47°
Last column: nearest neighbours and their distance in Å.
Fractional coordinates of all 7 atoms:
1 Co 0.5000 0.2500 0.7500  4 Co 2.12
2 Co 0.2500 0.5000 0.7500  4 Co 2.12
3 Co 0.7500 0.2500 0.5000  4 Co 2.12
4 Co 0.7500 0.5000 0.2500  4 Co 2.12
5 Co 0.2500 0.7500 0.5000  4 Co 2.12
6 Co 0.5000 0.7500 0.2500  4 Co 2.12
7 Tm 0.0000 0.0000 0.0000  24 Co 3.36

Results
Its crystal system is cubic. The density comes out at 8020 kg/m³. The value obtained for the formation energy is 0.53 eV per atom. The value obtained for the magnetization is 0.0 μB/f.u. The calculation puts the volume at 15.46 Å³ per atom.

Entry 10:
Crystalline ScNbRuRh2 at its relaxed geometry, computed with PBE.

a = 4.6356 Å, b = 4.9316 Å, c = 4.6356 Å
α = 90.00°, β = 90.00°, γ = 90.00°
Last column: nearest neighbours and their distance in Å.
Fractional coordinates of all 5 atoms:
1 Ru 0.5000 0.5000 0.5000  4 Sc 3.28, 8 Rh 3.38
2 Sc 0.0000 0.5000 0.0000  2 Nb 2.47
3 Rh 0.0000 0.0000 0.5000  2 Nb 2.32
4 Rh 0.5000 0.0000 0.0000  2 Nb 2.32
5 Nb 0.0000 0.0000 0.0000  4 Rh 2.32, 2 Sc 2.47

Results
Its crystal system is tetragonal. The density comes out at 6969 kg/m³. The value obtained for the formation energy is 1.18 eV per atom. The value obtained for the magnetization is 2.0 μB/f.u. The calculation puts the volume at 21.19 Å³ per atom.

Entry 11:
Crystalline ZnInNiH at its relaxed geometry, computed with PBE.

a = 3.3699 Å, b = 4.5035 Å, c = 7.0800 Å
α = 90.00°, β = 90.00°, γ = 90.00°
Last column: nearest neighbours and their distance in Å.
Fractional coordinates of all 8 atoms:
1 Zn 0.5000 0.0000 0.0875  1 H 1.95
2 In 0.5000 0.0000 0.6873  1 H 2.29
3 In 0.0000 0.5000 0.1873  1 H 2.29
4 H 0.0000 0.5000 0.8634  2 Ni 1.69
5 H 0.5000 0.0000 0.3634  2 Ni 1.69
6 Ni 0.5000 0.5000 0.8863  2 H 1.69
7 Zn 0.0000 0.5000 0.5875  1 H 1.95
8 Ni 0.0000 0.0000 0.3863  2 H 1.69

Results
Its crystal system is orthorhombic. The density comes out at 7416 kg/m³. The value obtained for the electronic total energy is -3.309 eV/atom. The value obtained for the magnetization is 0.0 μB/f.u. The calculation puts the volume at 13.43 Å³ per atom.

Entry 12:
Crystalline SiNiTe2 at its relaxed geometry, computed with PBE.

a = 3.5657 Å, b = 3.5657 Å, c = 6.9813 Å
α = 90.00°, β = 90.00°, γ = 90.00°
Last column: nearest neighbours and their distance in Å.
Fractional coordinates of all 4 atoms:
1 Te 0.0000 0.0000 0.8953  1 Ni 2.52, 4 Si 2.80
2 Si 0.5000 0.5000 0.7194  5 Te 2.57-2.80, 4 Ni 2.83
3 Te 0.5000 0.5000 0.3514  1 Si 2.57, 4 Ni 2.82
4 Ni 0.0000 0.0000 0.5339  5 Te 2.52-2.82

Results
Its crystal system is tetragonal. The density comes out at 6398 kg/m³. For the uncorrected formation energy, the calculation gives 0.17 eV per atom. The value obtained for the magnetization is 0.0 μB/f.u. The calculation puts the volume at 22.19 Å³ per atom.